Entry 1:
SrGeS: relaxed, PBE-GGA.

Cell lengths 11.942, 4.157, 6.833 Å; angles 90.00, 90.00, 90.00 degrees
Atoms (fractional coordinates):
Sr (0.202, 0.000, 0.000)
Sr (0.202, 0.500, 0.500)
Sr (0.798, 0.000, 0.000)
Sr (0.798, 0.500, 0.500)
Ge (0.000, 0.000, 0.661)
Ge (0.000, 0.500, 0.161)
Ge (0.500, 0.000, 0.413)
Ge (0.500, 0.500, 0.913)
S (0.354, 0.000, 0.658)
S (0.354, 0.500, 0.158)
S (0.646, 0.000, 0.658)
S (0.646, 0.500, 0.158)

Summary:
formation energy (no corrections)	-712	meV/atom
density	3.8	g/cm3
magnetic moment	0.000	μB/atom


Entry 2:
HgSbRh2: relaxed, PBE-GGA.

Cell lengths 6.542, 6.542, 6.542 Å; angles 90.00, 90.00, 90.00 degrees
Atoms (fractional coordinates):
Hg (0.000, 0.000, 0.000)
Hg (0.000, 0.500, 0.500)
Hg (0.500, 0.000, 0.500)
Hg (0.500, 0.500, 0.000)
Sb (0.000, 0.000, 0.500)
Sb (0.000, 0.500, 0.000)
Sb (0.500, 0.000, 0.000)
Sb (0.500, 0.500, 0.500)
Rh (0.250, 0.250, 0.250)
Rh (0.250, 0.250, 0.750)
Rh (0.250, 0.750, 0.250)
Rh (0.250, 0.750, 0.750)
Rh (0.750, 0.250, 0.250)
Rh (0.750, 0.250, 0.750)
Rh (0.750, 0.750, 0.250)
Rh (0.750, 0.750, 0.750)

Summary:
formation energy (no corrections)	-72	meV/atom
density	12.5	g/cm3
polymorph energy (0 for the lowest one)	0.0476	eV/atom
magnetic moment	0.000	μB/atom


Entry 3:
Tl2AgRu: relaxed, PBE-GGA.

Cell lengths 6.380, 7.412, 3.355 Å; angles 90.00, 90.17, 90.00 degrees
Atoms (fractional coordinates):
Tl (0.250, 0.250, 0.000)
Tl (0.250, 0.750, 0.000)
Tl (0.750, 0.250, 0.000)
Tl (0.750, 0.750, 0.000)
Ag (0.000, 0.000, 0.500)
Ag (0.500, 0.500, 0.500)
Ru (0.000, 0.500, 0.500)
Ru (0.500, 0.000, 0.500)

Summary:
formation energy from the elements	1.90	eV/f.u.
density	12.9	g/cm3
polymorph energy (0 for the lowest one)	0.0920	eV/atom
magnetic moment	0.000	μB/atom


Entry 4:
LiCaPuRh: relaxed, PBE-GGA.

Cell lengths 7.031, 7.031, 7.031 Å; angles 90.00, 90.00, 90.00 degrees
Atoms (fractional coordinates):
Li (0.000, 0.000, 0.000)
Li (0.000, 0.500, 0.500)
Li (0.500, 0.000, 0.500)
Li (0.500, 0.500, 0.000)
Ca (0.250, 0.250, 0.250)
Ca (0.250, 0.750, 0.750)
Ca (0.750, 0.250, 0.750)
Ca (0.750, 0.750, 0.250)
Pu (0.250, 0.250, 0.750)
Pu (0.250, 0.750, 0.250)
Pu (0.750, 0.250, 0.250)
Pu (0.750, 0.750, 0.750)
Rh (0.000, 0.000, 0.500)
Rh (0.000, 0.500, 0.000)
Rh (0.500, 0.000, 0.000)
Rh (0.500, 0.500, 0.500)

Summary:
formation energy from the elements	-0.47	eV/f.u.
density	7.5	g/cm3
magnetic moment	1.492	μB/atom


Question: Which value of density does entry 4 give?
Answer: 7.5 g/cm3